No. 1
This record from the Alexandria database describes crystalline In3As at its relaxed geometry. The functional is PBE.

Cell lengths 3.797, 3.878, 7.418 Å; angles 90.00, 90.00, 90.00 degrees
Space group Pmm2 (No. 25)
Symmetry-distinct sites (fractional):
In (0.000, 0.000, 0.000) [1 per cell]
In (0.000, 0.500, 0.423) [1 per cell]
In (0.500, 0.500, 0.764) [1 per cell]
As (0.500, 0.000, 0.286) [1 per cell]

The calculation puts the density of states at the Fermi level at 0.39 states/eV per atom. Its energy above the lowest structure with this stoichiometry is 28 meV/atom.

No. 2
This record from the Alexandria database describes crystalline InAs2 at its relaxed geometry. The functional is PBE.

Cell lengths 3.616, 3.616, 22.198 Å; angles 90.00, 90.00, 90.00 degrees
Space group I4_1/amd (No. 141, origin choice 2)
Symmetry-distinct sites (fractional):
In (0.000, 0.250, 0.375) [4 per cell]
As (0.000, 0.250, 0.788) [8 per cell]

The calculation puts the density of states at the Fermi level at 0.56 states/eV per atom. The calculated total energy is -46.60 eV/cell.